## CaTa2Hg (PBE)

Data for CaTa2Hg after structural relaxation.

Its raw total energy is -6.26 eV per atom. Its energy of formation from the pure elements is 0.24 eV per atom. Its space group is No. 6. As for the crystal system: monoclinic. The magnetic moment comes out at 0.00 μB/f.u. The density of states at the Fermi level is 0.71 states/eV per atom.

a b c (Å): 3.507 3.500 7.401
angles (deg): 90.00 90.11 90.00
Atoms (fractional coordinates):
Ca  0.000  0.000  0.000
Ta  0.000  0.000  0.466
Ta  0.500  0.500  0.306
Hg  0.500  0.500  0.721